1.
Material: AlRuRh2
Method: DFT, meta-GGA SCAN
State: single point on PBEsol structure

Calculated values
Density of states at the Fermi level: 3.6 states/eV per cell
Energy of formation from the pure elements: -0.361 eV per atom
SG: P4/mmm (123)
Energy: -111.57 eV per cell

CIF file:
```
data_AlRuRh2
_chemical_formula_sum 'Al1 Ru1 Rh2'
_cell_length_a 4.428
_cell_length_b 4.428
_cell_length_c 2.782
_cell_angle_alpha 90.00
_cell_angle_beta 90.00
_cell_angle_gamma 90.00
_symmetry_space_group_name_H-M 'P 1'
_symmetry_Int_Tables_number 1
loop_
_symmetry_equiv_pos_as_xyz
'x,y,z'
loop_
_atom_site_label
_atom_site_type_symbol
_atom_site_fract_x
_atom_site_fract_y
_atom_site_fract_z
Al1 Al 0.000 0.000 0.000
Ru1 Ru 0.500 0.500 0.000
Rh1 Rh 0.000 0.500 0.500
Rh2 Rh 0.500 0.000 0.500
```

2.
Material: SrFe2SiSe
Method: DFT, meta-GGA SCAN
State: single point on PBEsol structure

Calculated values
Density of states at the Fermi level: 3.4 states/eV per cell
SG: P4/mmm (123)
Energy: -77.87 eV per cell
Energy relative to the elements, uncorrected: 2.151 eV per atom

CIF file:
```
data_SrFe2SiSe
_chemical_formula_sum 'Sr1 Fe2 Si1 Se1'
_cell_length_a 4.695
_cell_length_b 4.695
_cell_length_c 5.416
_cell_angle_alpha 90.00
_cell_angle_beta 90.00
_cell_angle_gamma 90.00
_symmetry_space_group_name_H-M 'P 1'
_symmetry_Int_Tables_number 1
loop_
_symmetry_equiv_pos_as_xyz
'x,y,z'
loop_
_atom_site_label
_atom_site_type_symbol
_atom_site_fract_x
_atom_site_fract_y
_atom_site_fract_z
Sr1 Sr 0.000 0.000 0.000
Fe1 Fe 0.000 0.500 0.000
Fe2 Fe 0.500 0.000 0.000
Si1 Si 0.000 0.000 0.500
Se1 Se 0.500 0.500 0.500
```

3.
Material: Cd2BiBAs
Method: DFT, meta-GGA SCAN
State: single point on PBEsol structure

Calculated values
Density of states at the Fermi level: 2.4 states/eV per cell
Energy of formation from the pure elements: 0.782 eV per atom
SG: P4/mmm (123)
Energy: -163.12 eV per cell

CIF file:
```
data_Cd2BiBAs
_chemical_formula_sum 'Cd2 Bi1 B1 As1'
_cell_length_a 5.470
_cell_length_b 5.470
_cell_length_c 3.863
_cell_angle_alpha 90.00
_cell_angle_beta 90.00
_cell_angle_gamma 90.00
_symmetry_space_group_name_H-M 'P 1'
_symmetry_Int_Tables_number 1
loop_
_symmetry_equiv_pos_as_xyz
'x,y,z'
loop_
_atom_site_label
_atom_site_type_symbol
_atom_site_fract_x
_atom_site_fract_y
_atom_site_fract_z
Cd1 Cd 0.000 0.500 0.000
Cd2 Cd 0.500 0.000 0.000
Bi1 Bi 0.000 0.000 0.500
B1 B 0.500 0.500 0.500
As1 As 0.500 0.500 0.000
```

4.
Material: K3C2
Method: DFT, meta-GGA SCAN
State: single point on PBEsol structure

Calculated values
Density of states at the Fermi level: 2.5 states/eV per cell
Energy of formation from the pure elements: 1.552 eV per atom
SG: P-3m1 (164)
Energy: -37.42 eV per cell

CIF file:
```
data_K3C2
_chemical_formula_sum 'K3 C2'
_cell_length_a 5.003
_cell_length_b 5.003
_cell_length_c 6.242
_cell_angle_alpha 90.00
_cell_angle_beta 90.00
_cell_angle_gamma 120.00
_symmetry_space_group_name_H-M 'P 1'
_symmetry_Int_Tables_number 1
loop_
_symmetry_equiv_pos_as_xyz
'x,y,z'
loop_
_atom_site_label
_atom_site_type_symbol
_atom_site_fract_x
_atom_site_fract_y
_atom_site_fract_z
K1 K 0.000 0.000 0.000
K2 K 0.333 0.667 0.309
K3 K 0.667 0.333 0.691
C1 C 0.333 0.667 0.789
C2 C 0.667 0.333 0.211
```

5.
Material: SrLaCo2
Method: DFT, meta-GGA SCAN
State: single point on PBEsol structure

Calculated values
Density of states at the Fermi level: 3.9 states/eV per cell
Offset from the most stable computed form: 0.473 eV per atom
Energy of formation from the pure elements: 0.728 eV per atom
SG: R-3m (166)
Energy: -97.08 eV per cell

CIF file:
```
data_SrLaCo2
_chemical_formula_sum 'Sr1 La1 Co2'
_cell_length_a 8.086
_cell_length_b 8.086
_cell_length_c 8.086
_cell_angle_alpha 25.93
_cell_angle_beta 25.93
_cell_angle_gamma 25.93
_symmetry_space_group_name_H-M 'P 1'
_symmetry_Int_Tables_number 1
loop_
_symmetry_equiv_pos_as_xyz
'x,y,z'
loop_
_atom_site_label
_atom_site_type_symbol
_atom_site_fract_x
_atom_site_fract_y
_atom_site_fract_z
Sr1 Sr 0.000 0.000 0.000
La1 La 0.500 0.500 0.500
Co1 Co 0.241 0.241 0.241
Co2 Co 0.759 0.759 0.759
```

6.
Material: B3HS
Method: DFT, meta-GGA SCAN
State: single point on PBEsol structure

Calculated values
Density of states at the Fermi level: 1.5 states/eV per cell
Offset from the most stable computed form: 0.000 eV per atom
SG: Pm-3m (221)
Energy: -25.10 eV per cell

CIF file:
```
data_B3HS
_chemical_formula_sum 'B3 H1 S1'
_cell_length_a 3.336
_cell_length_b 3.336
_cell_length_c 3.336
_cell_angle_alpha 90.00
_cell_angle_beta 90.00
_cell_angle_gamma 90.00
_symmetry_space_group_name_H-M 'P 1'
_symmetry_Int_Tables_number 1
loop_
_symmetry_equiv_pos_as_xyz
'x,y,z'
loop_
_atom_site_label
_atom_site_type_symbol
_atom_site_fract_x
_atom_site_fract_y
_atom_site_fract_z
B1 B 0.000 0.000 0.500
B2 B 0.000 0.500 0.000
B3 B 0.500 0.000 0.000
H1 H 0.000 0.000 0.000
S1 S 0.500 0.500 0.500
```

7.
Material: Mg3Mn2Al18
Method: DFT, meta-GGA SCAN
State: single point on PBEsol structure

Calculated values
Density of states at the Fermi level: 16.0 states/eV per cell
Energy of formation from the pure elements: -0.147 eV per atom
SG: Fd-3m (227)
Energy: -388.71 eV per cell

CIF file:
```
data_Mg3Mn2Al18
_chemical_formula_sum 'Mg6 Mn4 Al36'
_cell_length_a 10.134
_cell_length_b 10.134
_cell_length_c 10.134
_cell_angle_alpha 60.00
_cell_angle_beta 60.00
_cell_angle_gamma 60.00
_symmetry_space_group_name_H-M 'P 1'
_symmetry_Int_Tables_number 1
loop_
_symmetry_equiv_pos_as_xyz
'x,y,z'
loop_
_atom_site_label
_atom_site_type_symbol
_atom_site_fract_x
_atom_site_fract_y
_atom_site_fract_z
Mg1 Mg 0.000 0.000 0.000
Mg2 Mg 0.000 0.000 0.500
Mg3 Mg 0.000 0.500 0.000
Mg4 Mg 0.125 0.125 0.125
Mg5 Mg 0.500 0.000 0.000
Mg6 Mg 0.875 0.875 0.875
Mn1 Mn 0.000 0.500 0.500
Mn2 Mn 0.500 0.000 0.500
Mn3 Mn 0.500 0.500 0.000
Mn4 Mn 0.500 0.500 0.500
Al1 Al 0.058 0.327 0.327
Al2 Al 0.058 0.327 0.788
Al3 Al 0.058 0.788 0.327
Al4 Al 0.212 0.673 0.673
Al5 Al 0.212 0.673 0.942
Al6 Al 0.212 0.942 0.673
Al7 Al 0.239 0.239 0.511
Al8 Al 0.239 0.511 0.239
Al9 Al 0.239 0.511 0.511
Al10 Al 0.327 0.058 0.327
Al11 Al 0.327 0.058 0.788
Al12 Al 0.327 0.327 0.058
Al13 Al 0.327 0.327 0.788
Al14 Al 0.327 0.788 0.058
Al15 Al 0.327 0.788 0.327
Al16 Al 0.489 0.489 0.761
Al17 Al 0.489 0.761 0.489
Al18 Al 0.489 0.761 0.761
Al19 Al 0.511 0.239 0.239
Al20 Al 0.511 0.239 0.511
Al21 Al 0.511 0.511 0.239
Al22 Al 0.673 0.212 0.673
Al23 Al 0.673 0.212 0.942
Al24 Al 0.673 0.673 0.212
Al25 Al 0.673 0.673 0.942
Al26 Al 0.673 0.942 0.212
Al27 Al 0.673 0.942 0.673
Al28 Al 0.761 0.489 0.489
Al29 Al 0.761 0.489 0.761
Al30 Al 0.761 0.761 0.489
Al31 Al 0.788 0.058 0.327
Al32 Al 0.788 0.327 0.058
Al33 Al 0.788 0.327 0.327
Al34 Al 0.942 0.212 0.673
Al35 Al 0.942 0.673 0.212
Al36 Al 0.942 0.673 0.673
```

8.
Material: SiSb2CI
Method: DFT, meta-GGA SCAN
State: single point on PBEsol structure

Calculated values
Density of states at the Fermi level: 3.6 states/eV per cell
SG: P4/mmm (123)
Energy: -124.10 eV per cell
Energy relative to the elements, uncorrected: 1.455 eV per atom

CIF file:
```
data_SiSb2CI
_chemical_formula_sum 'Si1 Sb2 C1 I1'
_cell_length_a 4.860
_cell_length_b 4.860
_cell_length_c 4.530
_cell_angle_alpha 90.00
_cell_angle_beta 90.00
_cell_angle_gamma 90.00
_symmetry_space_group_name_H-M 'P 1'
_symmetry_Int_Tables_number 1
loop_
_symmetry_equiv_pos_as_xyz
'x,y,z'
loop_
_atom_site_label
_atom_site_type_symbol
_atom_site_fract_x
_atom_site_fract_y
_atom_site_fract_z
Si1 Si 0.000 0.000 0.000
Sb1 Sb 0.000 0.500 0.500
Sb2 Sb 0.500 0.000 0.500
C1 C 0.500 0.500 0.500
I1 I 0.500 0.500 0.000
```